## HfBeW2 (PBE-GGA)

Data for a relaxed structure of HfBeW2.

Computed properties:
The energy is -9.7617 eV per atom. The space-group type is F-43m (216).

```
HfBeW2
1.0
0.0000 3.1651 3.1651
3.1651 0.0000 3.1651
3.1651 3.1651 0.0000
Hf Be W
1 1 2
Cartesian
0.0000 0.0000 0.0000
4.7477 4.7477 4.7477
1.5826 1.5826 1.5826
3.1651 3.1651 3.1651
```


## YHf2Be (PBE-GGA)

Data for a relaxed structure of YHf2Be.

Computed properties:
The energy is -7.1322 eV per atom. The space-group type is F-43m (216).

```
YHf2Be
1.0
0.0000 3.4619 3.4619
3.4619 0.0000 3.4619
3.4619 3.4619 0.0000
Y Hf Be
1 2 1
Cartesian
0.0000 0.0000 0.0000
1.7309 1.7309 1.7309
3.4619 3.4619 3.4619
5.1928 5.1928 5.1928
```